The following is a DFT calculation (meta-GGA SCAN) of Ba4GeP4 at its PBEsol-relaxed geometry. Values from VASP.

Structure (Quantum ESPRESSO input):
```
&SYSTEM
  ibrav = 0, nat = 72, ntyp = 3
/
ATOMIC_SPECIES
Ba 137.33 Ba.upf
Ge 72.64 Ge.upf
P 30.97 P.upf
CELL_PARAMETERS angstrom
-11.436 0.680 6.213
2.115 -11.770 5.181
5.881 5.555 10.218
ATOMIC_POSITIONS crystal
Ba 0.905 0.867 0.645
Ba 0.905 0.133 0.355
Ba 0.867 0.645 0.905
Ba 0.133 0.645 0.095
Ba 0.645 0.905 0.867
Ba 0.355 0.095 0.867
Ba 0.595 0.855 0.367
Ba 0.595 0.145 0.633
Ba 0.405 0.855 0.633
Ba 0.145 0.633 0.595
Ba 0.633 0.405 0.855
Ba 0.633 0.595 0.145
Ba 0.855 0.367 0.595
Ba 0.367 0.595 0.855
Ba 0.855 0.633 0.405
Ba 0.145 0.367 0.405
Ba 0.367 0.405 0.145
Ba 0.355 0.905 0.133
Ba 0.645 0.095 0.133
Ba 0.867 0.355 0.095
Ba 0.133 0.355 0.905
Ba 0.095 0.133 0.645
Ba 0.095 0.867 0.355
Ba 0.405 0.145 0.367
Ba 0.145 0.145 0.145
Ba 0.355 0.645 0.355
Ba 0.645 0.355 0.355
Ba 0.355 0.355 0.645
Ba 0.145 0.855 0.855
Ba 0.855 0.855 0.145
Ba 0.855 0.145 0.855
Ba 0.645 0.645 0.645
Ge 0.750 0.000 0.500
Ge 0.500 0.750 0.000
Ge 0.500 0.250 0.000
Ge 0.000 0.500 0.250
Ge 0.000 0.500 0.750
Ge 0.250 0.000 0.500
Ge 0.500 0.500 0.500
Ge 0.000 0.000 0.000
P 0.651 0.896 0.612
P 0.651 0.104 0.388
P 0.896 0.612 0.651
P 0.104 0.612 0.349
P 0.612 0.651 0.896
P 0.388 0.349 0.896
P 0.849 0.888 0.396
P 0.849 0.112 0.604
P 0.151 0.888 0.604
P 0.112 0.604 0.849
P 0.604 0.151 0.888
P 0.604 0.849 0.112
P 0.888 0.396 0.849
P 0.396 0.849 0.888
P 0.888 0.604 0.151
P 0.112 0.396 0.151
P 0.396 0.151 0.112
P 0.388 0.651 0.104
P 0.612 0.349 0.104
P 0.896 0.388 0.349
P 0.104 0.388 0.651
P 0.349 0.104 0.612
P 0.349 0.896 0.388
P 0.151 0.112 0.396
P 0.895 0.895 0.895
P 0.605 0.395 0.605
P 0.395 0.605 0.605
P 0.605 0.605 0.395
P 0.895 0.105 0.105
P 0.105 0.105 0.895
P 0.105 0.895 0.105
P 0.395 0.395 0.395
```

Properties
Formation enthalpy at 0 K, meV/atom: -1079
Calculated density, Mg/m³: 4.5
Total magnetic moment, μB per cell: 0.00